# PBEsol ErLuHg2, relaxed
# E_form, kJ/mol of atoms: -55.9
# Total magnetization, Bohr magnetons per cell: 0.00
# V, Å³ per cell: 374.2
data_ErLuHg2
_space_group_name_H-M_alt 'F m -3 m'
_space_group_IT_number 225
_space_group_name_Hall '-F 4 2 3'
_cell_length_a 7.206
_cell_length_b 7.206
_cell_length_c 7.206
_cell_angle_alpha 90.00
_cell_angle_beta 90.00
_cell_angle_gamma 90.00
loop_
_atom_site_label
_atom_site_fract_x
_atom_site_fract_y
_atom_site_fract_z
_atom_site_occupancy
Er1 0.000 0.000 0.000 1
Lu1 0.000 0.000 0.500 1
Hg1 0.250 0.250 0.250 1